[1]
Computed, not measured: a relaxed La3Nd2Dy4 crystal at the PBE-GGA level of DFT.

a = 11.765 Å, b = 5.830 Å, c = 9.298 Å
α = 90.00°, β = 102.64°, γ = 90.00°
Space group C2/m (No. 12)
One atom of each set of equivalent atoms:
La: 0.000 0.000 0.000 x2
La: 0.122 0.000 0.692 x4
Nd: 0.065 0.500 0.301 x4
Dy: 0.178 0.500 0.961 x4
Dy: 0.228 0.000 0.368 x4

Summary:
**Volume**: 34.57 A^3/atom
**Offset from the most stable computed form**: 0.00 kJ per mole of atoms


[2]
Computed, not measured: a relaxed La6ErTl crystal at the PBE-GGA level of DFT.

a = 5.119 Å, b = 5.119 Å, c = 10.390 Å
α = 90.00°, β = 90.00°, γ = 90.00°
Space group P4/mmm (No. 123)
One atom of each set of equivalent atoms:
La: 0.000 0.000 0.000 x1
La: 0.000 0.000 0.500 x1
La: 0.000 0.500 0.247 x4
Er: 0.500 0.500 0.500 x1
Tl: 0.500 0.500 0.000 x1

Summary:
**Volume**: 34.03 A^3/atom
**Offset from the most stable computed form**: 0.00 kJ per mole of atoms


[3]
Computed, not measured: a relaxed NbFeTeAuS crystal at the PBE-GGA level of DFT.

a = 12.094 Å, b = 3.604 Å, c = 4.668 Å
α = 90.00°, β = 99.38°, γ = 90.00°
Space group Cm (No. 8)
One atom of each set of equivalent atoms:
Nb: 0.000 0.000 0.000 x2
Fe: 0.401 0.500 0.376 x2
Te: 0.165 0.500 0.279 x2
Au: 0.297 0.000 0.997 x2
S: 0.438 0.000 0.621 x2

Summary:
**Volume**: 20.07 A^3/atom
**Offset from the most stable computed form**: 15.14 kJ per mole of atoms
**Formation energy without anion corrections**: -0.38 eV/f.u.


[4]
Computed, not measured: a relaxed Nd2PtO crystal at the PBE-GGA level of DFT.

a = 4.3566 Å, b = 4.3566 Å, c = 22.2185 Å
α = 90.00°, β = 90.00°, γ = 120.00°
Space group R-3m (No. 166, hexagonal axes)
One atom of each set of equivalent atoms:
Nd: 0.0000 0.0000 0.0957 x6
Pt: 0.0000 0.0000 0.5000 x3
O: 0.0000 0.0000 0.0000 x3

Summary:
**Volume**: 30.43 A^3/atom
**Offset from the most stable computed form**: 16.97 kJ per mole of atoms
**Formation energy without anion corrections**: -6.50 eV/f.u.


[5]
Computed, not measured: a relaxed Ti2MoBr crystal at the PBE-GGA level of DFT.

a = 6.466 Å, b = 6.466 Å, c = 6.466 Å
α = 90.00°, β = 90.00°, γ = 90.00°
Space group Fm-3m (No. 225)
One atom of each set of equivalent atoms:
Ti: 0.250 0.250 0.250 x8
Mo: 0.000 0.000 0.000 x4
Br: 0.000 0.000 0.500 x4

Summary:
**Volume**: 16.90 A^3/atom
**Offset from the most stable computed form**: 0.00 kJ per mole of atoms
**Formation energy without anion corrections**: 1.73 eV/f.u.


[6]
Computed, not measured: a relaxed KCeSO crystal at the PBE-GGA level of DFT.

a = 3.8822 Å, b = 3.8822 Å, c = 20.8287 Å
α = 90.00°, β = 90.00°, γ = 120.00°
Space group R3m (No. 160, hexagonal axes)
One atom of each set of equivalent atoms:
K: 0.0000 0.0000 0.0000 x3
Ce: 0.0000 0.0000 0.4830 x3
S: 0.0000 0.0000 0.2334 x3
O: 0.0000 0.0000 0.7702 x3

Summary:
**Volume**: 22.65 A^3/atom
**Formation energy without anion corrections**: -8.51 eV/f.u.


[7]
Computed, not measured: a relaxed Mn2MoP crystal at the PBE-GGA level of DFT.

a = 3.205 Å, b = 3.205 Å, c = 5.073 Å
α = 90.00°, β = 90.00°, γ = 90.00°
Space group P4/mmm (No. 123)
One atom of each set of equivalent atoms:
Mn: 0.000 0.000 0.237 x2
Mo: 0.500 0.500 0.500 x1
P: 0.500 0.500 0.000 x1

Summary:
**Volume**: 13.03 A^3/atom


[8]
Computed, not measured: a relaxed NaCdPdPb crystal at the PBE-GGA level of DFT.

a = 6.968 Å, b = 6.968 Å, c = 6.968 Å
α = 90.00°, β = 90.00°, γ = 90.00°
Space group F-43m (No. 216)
One atom of each set of equivalent atoms:
Na: 0.000 0.000 0.000 x4
Cd: 0.250 0.250 0.250 x4
Pd: 0.000 0.000 0.500 x4
Pb: 0.250 0.250 0.750 x4

Summary:
**Volume**: 21.14 A^3/atom


| no. | N(E_F) (states/eV per cell) | E_tot (hartree per atom) |
| --- | --- | --- |
| 1 | 31.44 | -0.1713 |
| 2 | 10.89 | -0.1714 |
| 3 | 1.73 | -0.2165 |
| 4 | 4.34 | -0.2484 |
| 5 | 32.84 | -0.2441 |
| 6 | 13.09 | -0.2263 |
| 7 | 3.71 | -0.3215 |
| 8 | 5.63 | -0.1095 |